LaTcBi3 | PBE-GGA | optimized geometry

Cell: 5.9762 5.9762 5.9762 Å, 90.00 90.00 90.00°
Last column: nearest neighbours and their distance in Å.
Fractional coordinates of all 5 atoms:
La1 0.0000 0.0000 0.0000  6 Bi 2.99
Tc1 0.5000 0.5000 0.5000  12 Bi 4.23
Bi1 0.0000 0.0000 0.5000  2 La 2.99
Bi2 0.0000 0.5000 0.0000  2 La 2.99
Bi3 0.5000 0.0000 0.0000  2 La 2.99

Computed properties:
DOS(E_F) (states/eV per cell): 23.69
Magnetization (Bohr magnetons per cell): 0.01
Polymorph energy (0 for the lowest one) (eV/atom): 1.540
Symmetry: Pm-3m, No. 221
ΔH_f (0 K) (eV/atom): 1.74
Energy (eV/atom): -3.65

Sm2Dy2Er3 | PBE-GGA | optimized geometry

Cell: 8.8826 8.8826 8.5064 Å, 118.53 118.53 22.69°
Last column: nearest neighbours and their distance in Å.
Fractional coordinates of all 7 atoms:
Sm1 0.0666 0.0666 0.4108  3 Sm 3.33-3.49, 5 Er 3.42-3.56, 4 Dy 3.59-3.72
Sm2 0.9334 0.9334 0.5892  3 Sm 3.33-3.49, 5 Er 3.42-3.56, 4 Dy 3.59-3.72
Dy1 0.3509 0.3509 0.1686  4 Dy 3.49-3.72, 4 Er 3.53-3.59, 4 Sm 3.59-3.72
Dy2 0.6491 0.6491 0.8314  4 Dy 3.49-3.72, 4 Er 3.53-3.59, 4 Sm 3.59-3.72
Er1 0.2884 0.2884 0.6990  5 Er 3.31-3.49, 3 Sm 3.42-3.55, 3 Dy 3.59
Er2 0.5000 0.5000 0.0000  4 Er 3.31-3.49, 2 Dy 3.53, 4 Sm 3.56
Er3 0.7116 0.7116 0.3010  5 Er 3.31-3.49, 3 Sm 3.42-3.55, 3 Dy 3.59

Computed properties:
DOS(E_F) (states/eV per cell): 10.79
Magnetization (Bohr magnetons per cell): 0.00
Polymorph energy (0 for the lowest one) (eV/atom): 0.000
Symmetry: C2/m, No. 12
ΔH_f (0 K) (eV/atom): 0.12
Energy (eV/atom): -4.50

Pr8Co3NCl3 | PBE-GGA | optimized geometry

Cell: 7.9379 7.9379 8.7194 Å, 117.07 117.07 59.78°
Last column: nearest neighbours and their distance in Å.
Fractional coordinates of all 15 atoms:
Pr1 0.2242 0.7479 0.6950  1 N 2.61, 2 Co 2.75-2.77
Pr2 0.2253 0.2253 0.6955  1 N 2.64, 2 Co 2.75
Pr3 0.2521 0.7758 0.3050  1 N 2.61, 2 Co 2.75-2.77
Pr4 0.2648 0.2648 0.2949  3 Co 2.74-2.76
Pr5 0.7352 0.7352 0.7051  3 Co 2.74-2.76
Pr6 0.7479 0.2242 0.6950  1 N 2.61, 2 Co 2.75-2.77
Pr7 0.7747 0.7747 0.3045  1 N 2.64, 2 Co 2.75
Pr8 0.7758 0.2521 0.3050  1 N 2.61, 2 Co 2.75-2.77
Co1 0.0000 0.5000 0.5000  6 Pr 2.74-2.77
Co2 0.5000 0.0000 0.5000  6 Pr 2.74-2.77
Co3 0.5000 0.5000 0.5000  6 Pr 2.75-2.76
N1 0.0000 0.0000 0.5000  6 Pr 2.61-2.64
Cl1 0.0000 0.0000 0.0000  6 Pr 3.17-3.18
Cl2 0.0000 0.5000 0.0000  6 Pr 3.16-3.18
Cl3 0.5000 0.0000 0.0000  6 Pr 3.16-3.18

Computed properties:
DOS(E_F) (states/eV per cell): 10.03
ΔE_f (raw) (eV per atom): -0.753
Magnetization (Bohr magnetons per cell): 0.00
Symmetry: C2/m, No. 12
Energy (eV/atom): -5.65

LiIrI2 | PBE-GGA | optimized geometry

Cell: 5.0710 5.0710 5.0710 Å, 60.00 60.00 60.00°
Last column: nearest neighbours and their distance in Å.
Fractional coordinates of all 4 atoms:
Li1 0.0000 0.0000 0.0000  8 I 3.11
Ir1 0.5000 0.5000 0.5000  8 I 3.11
I1 0.2500 0.2500 0.2500  4 Li 3.11, 4 Ir 3.11
I2 0.7500 0.7500 0.7500  4 Li 3.11, 4 Ir 3.11

Computed properties:
DOS(E_F) (states/eV per cell): 2.22
ΔE_f (raw) (eV per atom): 0.478
Magnetization (Bohr magnetons per cell): 1.86
Polymorph energy (0 for the lowest one) (eV/atom): 0.417
Symmetry: Fm-3m, No. 225
Energy (eV/atom): -2.99

Na3USb2Te6 | PBE-GGA | optimized geometry

Cell: 7.7571 7.7571 7.9808 Å, 99.29 99.29 119.97°
Last column: nearest neighbours and their distance in Å.
Fractional coordinates of all 12 atoms:
Na1 0.0000 0.0000 0.0000  6 Te 3.25-3.30
Na2 0.3297 0.6703 0.0000  6 Te 3.23-3.32
Na3 0.6703 0.3297 0.0000  6 Te 3.23-3.32
U1 0.5000 0.5000 0.5000  6 Te 3.15
Sb1 0.1664 0.8336 0.5000  6 Te 3.11-3.12
Sb2 0.8336 0.1664 0.5000  6 Te 3.11-3.12
Te1 0.0862 0.4234 0.2684  2 Sb 3.11, 1 U 3.15, 3 Na 3.23-3.30
Te2 0.2410 0.2410 0.7338  2 Sb 3.12, 1 U 3.15, 3 Na 3.25-3.32
Te3 0.4234 0.0862 0.2684  2 Sb 3.11, 1 U 3.15, 3 Na 3.23-3.30
Te4 0.5766 0.9138 0.7316  2 Sb 3.11, 1 U 3.15, 3 Na 3.23-3.30
Te5 0.7590 0.7590 0.2662  2 Sb 3.12, 1 U 3.15, 3 Na 3.25-3.32
Te6 0.9138 0.5766 0.7316  2 Sb 3.11, 1 U 3.15, 3 Na 3.23-3.30

Computed properties:
DOS(E_F) (states/eV per cell): 2.73
ΔE_f (raw) (eV per atom): -0.547
Magnetization (Bohr magnetons per cell): 3.03
Symmetry: C2/m, No. 12
Energy (eV/atom): -4.08

What is the DOS(E_F) in the first record? 23.69 states/eV per cell

Which of these has the highest DOS(E_F)? LaTcBi3

Which value of magnetization does entry 2 give? 0.00 Bohr magnetons per cell